Entry from the Alexandria database: a relaxed Pr5Nd7Y crystal (PBE).

Computed properties:
The spin magnetization comes out at 0.000 μB per atom. For the total energy, the calculation gives -4.6811 eV/atom.

Cell: 6.9230 11.3342 12.0327 Å, 90.00 90.00 90.00°
Space group Imm2 (No. 44)
Symmetry-distinct sites (fractional):
Pr (0.0000, 0.0000, 0.0000)
Pr (0.2266, 0.2745, 0.5419)
Nd (0.0000, 0.0000, 0.5183)
Nd (0.0000, 0.1699, 0.2783)
Nd (0.0000, 0.1802, 0.7819)
Nd (0.0000, 0.5000, 0.0338)
Nd (0.0000, 0.5000, 0.3372)
Y (0.0000, 0.5000, 0.7279)

---

Entry from the Alexandria database: a relaxed Pr3Nd2Y5 crystal (PBE).

Computed properties:
The spin magnetization comes out at 0.000 μB per atom. For the total energy, the calculation gives -5.3493 eV/atom.

Cell: 12.3093 17.3564 6.5163 Å, 90.00 90.00 90.00°
Space group Ibam (No. 72)
Symmetry-distinct sites (fractional):
Pr (0.0000, 0.0000, 0.2500)
Pr (0.2416, 0.1688, 0.0000)
Nd (0.0861, 0.3319, 0.0000)
Y (0.0000, 0.5000, 0.2500)
Y (0.0933, 0.1669, 0.5000)
Y (0.2472, 0.5000, 0.2500)

---

Entry from the Alexandria database: a relaxed Pr2Nd3Y2 crystal (PBE).

Computed properties:
The spin magnetization comes out at 0.000 μB per atom. For the total energy, the calculation gives -5.2449 eV/atom.

Cell: 3.6689 6.3149 10.9864 Å, 95.57 90.05 106.82°
Space group P-1 (No. 2)
Symmetry-distinct sites (fractional):
Pr (0.2156, 0.4307, 0.3561)
Nd (0.3564, 0.7148, 0.9295)
Nd (0.5000, 0.0000, 0.5000)
Y (0.0711, 0.1412, 0.7873)

---

Entry from the Alexandria database: a relaxed PrNd3Y crystal (PBE).

Computed properties:
The spin magnetization comes out at 0.000 μB per atom. For the total energy, the calculation gives -5.0959 eV/atom.

Cell: 19.0392 3.6652 10.3908 Å, 90.00 105.79 90.00°
Space group C2/m (No. 12)
Symmetry-distinct sites (fractional):
Pr (0.1006, 0.0000, 0.0512)
Nd (0.0005, 0.5000, 0.2513)
Nd (0.1010, 0.0000, 0.5494)
Nd (0.2009, 0.5000, 0.8482)
Y (0.2006, 0.5000, 0.3526)